A plane-wave DFT calculation with PBE-GGA was carried out for a geometry-optimized CaZrTiIr2 structure.

a = 4.384 Å, b = 4.384 Å, c = 6.345 Å
α = 110.21°, β = 110.21°, γ = 90.00°
Positions (direct):
Ca: 0.000 0.000 0.000
Zr: 0.750 0.250 0.500
Ti: 0.250 0.750 0.500
Ir: 0.617 0.617 0.234
Ir: 0.383 0.383 0.766

Calculated values
**Formation energy from the elements**: -3.36 eV/f.u.

A plane-wave DFT calculation with PBE-GGA was carried out for a geometry-optimized RbHo4ErSe8 structure.

a = 8.611 Å, b = 8.611 Å, c = 8.594 Å
α = 59.93°, β = 59.93°, γ = 60.00°
Positions (direct):
Rb: 0.376 0.376 0.873
Ho: 0.625 0.625 0.125
Ho: 0.005 0.485 0.505
Ho: 0.485 0.005 0.505
Ho: 0.005 0.005 0.505
Er: 0.005 0.005 0.986
Se: 0.231 0.804 0.733
Se: 0.804 0.231 0.733
Se: 0.231 0.231 0.733
Se: 0.232 0.232 0.303
Se: 0.758 0.228 0.257
Se: 0.228 0.758 0.257
Se: 0.758 0.758 0.257
Se: 0.757 0.757 0.728

Calculated values
**Formation energy (no corrections)**: -1.710 eV/atom

A plane-wave DFT calculation with PBE-GGA was carried out for a geometry-optimized CuPdS6 structure.

a = 6.299 Å, b = 6.870 Å, c = 5.497 Å
α = 70.48°, β = 70.75°, γ = 49.77°
Positions (direct):
Cu: 0.500 0.500 0.500
Pd: 0.000 0.000 0.000
S: 0.176 0.936 0.562
S: 0.364 0.338 0.911
S: 0.879 0.420 0.837
S: 0.636 0.662 0.089
S: 0.824 0.064 0.438
S: 0.121 0.580 0.163

Calculated values
**Formation energy (no corrections)**: -0.062 eV/atom

Number 1: total energy -39.5 eV for the cell shown. Number 2: total energy -75.7 eV for the cell shown. Number 3: total energy -34.6 eV for the cell shown.